A relaxed structure of YTl2NiPb, computed with PBE-GGA.

POSCAR file:
```
YTl2NiPb
1.0
5.032 0.000 0.000
0.000 5.032 0.000
0.000 0.000 5.284
Y Tl Ni Pb
1 2 1 1
Direct
0.000 0.000 0.000
0.000 0.500 0.500
0.500 0.000 0.500
0.000 0.000 0.500
0.500 0.500 0.000
```

Output
DOS(E_F)	3.68	states/eV per cell
formation energy from the elements	-7	kJ per mole of atoms
crystal system	tetragonal

***

A relaxed structure of ZnHPd2, computed with PBE-GGA.

POSCAR file:
```
ZnHPd2
1.0
1.449 0.837 6.484
-1.449 0.837 6.484
0.000 -1.674 6.484
Zn H Pd
1 1 2
Direct
0.000 0.000 0.000
0.500 0.500 0.500
0.228 0.228 0.228
0.772 0.772 0.772
```

Output
DOS(E_F)	1.11	states/eV per cell
crystal system	trigonal
offset from the most stable computed form	13	kJ/mol of formula units

***

A relaxed structure of FeTeW, computed with PBE-GGA.

POSCAR file:
```
FeTeW
1.0
4.259 0.000 0.000
-2.129 3.688 0.000
0.000 0.000 3.090
Fe Te W
1 1 1
Direct
0.000 0.000 0.000
0.667 0.333 0.059
0.333 0.667 0.549
```

Output
DOS(E_F)	3.93	states/eV per cell
crystal system	trigonal
offset from the most stable computed form	52	kJ/mol of formula units

***

A relaxed structure of BeIrS3, computed with PBE-GGA.

POSCAR file:
```
BeIrS3
1.0
4.168 0.000 0.000
0.000 4.168 0.000
0.000 0.000 4.168
Be Ir S
1 1 3
Direct
0.000 0.000 0.000
0.500 0.500 0.500
0.000 0.000 0.500
0.000 0.500 0.000
0.500 0.000 0.000
```

Output
DOS(E_F)	3.16	states/eV per cell
crystal system	cubic
offset from the most stable computed form	0	kJ/mol of formula units

***

A relaxed structure of PmPaN2, computed with PBE-GGA.

POSCAR file:
```
PmPaN2
1.0
1.779 1.027 5.796
-1.779 1.027 5.796
0.000 -2.055 5.796
Pm Pa N
1 1 2
Direct
0.000 0.000 0.000
0.500 0.500 0.500
0.239 0.239 0.239
0.761 0.761 0.761
```

Output
DOS(E_F)	2.14	states/eV per cell
crystal system	trigonal
offset from the most stable computed form	0	kJ/mol of formula units

***

A relaxed structure of La2ZrHg, computed with PBE-GGA.

POSCAR file:
```
La2ZrHg
1.0
1.790 1.033 10.779
-1.790 1.033 10.779
0.000 -2.067 10.779
La Zr Hg
2 1 1
Direct
0.250 0.250 0.250
0.750 0.750 0.750
0.000 0.000 0.000
0.500 0.500 0.500
```

Output
DOS(E_F)	5.22	states/eV per cell
formation energy from the elements	-1	kJ per mole of atoms
crystal system	trigonal

***

Question: What is the DOS(E_F) in the fourth record?
Answer: 3.16 states/eV per cell